Entry 1:
## RbNa2ZnIn (GGA-PBE)

Data for an optimized crystal structure of RbNa2ZnIn.

Lattice parameters (Å, degrees): 5.848 5.848 5.406 90.00 90.00 90.00
Fractional positions:
Na: 0.000 0.500 0.000
Na: 0.500 0.000 0.000
Zn: 0.000 0.000 0.000
Rb: 0.500 0.500 0.500
In: 0.000 0.000 0.500

symmetry: P4/mmm, No. 123
crystal system: tetragonal

---

Entry 2:
## Hf2TiAu (GGA-PBE)

Data for an optimized crystal structure of Hf2TiAu.

Lattice parameters (Å, degrees): 3.166 3.166 9.476 80.38 80.38 60.00
Fractional positions:
Hf: 0.083 0.083 0.750
Hf: 0.250 0.250 0.250
Ti: 0.499 0.499 0.502
Au: 0.667 0.667 0.998

symmetry: R3m, No. 160
crystal system: trigonal

---

no.,total DFT energy (no corrections) (Ry per atom),volume (A^3/atom)
1,-0.1090,36.98
2,-0.5792,20.18